(1)
# Ca2IrRh

A geometry-optimized Ca2IrRh structure (PBE, Alexandria via LeMat-Bulk).

a = 4.763 Å, b = 4.763 Å, c = 3.517 Å
α = 90.00°, β = 90.00°, γ = 90.00°
Space group P4/mmm (No. 123)
Asymmetric unit:
Ca  0.000  0.500  0.000
Ir  0.000  0.000  0.500
Rh  0.500  0.500  0.500

Results
DOS(E_F) ... 0.50 states/eV per atom
Crystal system ... tetragonal

***

(2)
# Ca2IrRh

A geometry-optimized Ca2IrRh structure (PBE, Alexandria via LeMat-Bulk).

a = 3.2538 Å, b = 3.2538 Å, c = 26.1837 Å
α = 90.00°, β = 90.00°, γ = 120.00°
Space group R-3m (No. 166, hexagonal axes)
Asymmetric unit:
Ca  0.0000  0.0000  0.2493
Ir  0.0000  0.0000  0.0000
Rh  0.0000  0.0000  0.5000

Results
DOS(E_F) ... 0.92 states/eV per atom
Crystal system ... trigonal

***

(3)
# Ca2IrRh

A geometry-optimized Ca2IrRh structure (PBE, Alexandria via LeMat-Bulk).

a = 3.029 Å, b = 4.551 Å, c = 5.886 Å
α = 90.00°, β = 90.00°, γ = 90.00°
Space group Pmm2 (No. 25)
Asymmetric unit:
Ca  0.000  0.000  0.000
Ca  0.500  0.500  0.346
Ir  0.000  0.000  0.536
Rh  0.500  0.500  0.803

Results
DOS(E_F) ... 1.30 states/eV per atom
Crystal system ... orthorhombic

***

(4)
# CaIr2Rh

A geometry-optimized CaIr2Rh structure (PBE, Alexandria via LeMat-Bulk).

a = 2.8515 Å, b = 2.8515 Å, c = 27.8426 Å
α = 90.00°, β = 90.00°, γ = 120.00°
Space group R-3m (No. 166, hexagonal axes)
Asymmetric unit:
Ca  0.0000  0.0000  0.0000
Ir  0.0000  0.0000  0.2446
Rh  0.0000  0.0000  0.5000

Results
DOS(E_F) ... 1.27 states/eV per atom
Offset from the most stable computed form ... 0.3085 eV/atom
Crystal system ... trigonal

***

(5)
# Ca2IrRh

A geometry-optimized Ca2IrRh structure (PBE, Alexandria via LeMat-Bulk).

a = 3.187 Å, b = 3.910 Å, c = 6.370 Å
α = 90.00°, β = 90.08°, γ = 90.00°
Space group P2/m (No. 10)
Asymmetric unit:
Ca  0.000  0.000  0.249
Ir  0.500  0.500  0.000
Rh  0.500  0.500  0.500

Results
DOS(E_F) ... 0.82 states/eV per atom
Crystal system ... monoclinic

***

(6)
# CaIr2Rh

A geometry-optimized CaIr2Rh structure (PBE, Alexandria via LeMat-Bulk).

a = 4.437 Å, b = 4.437 Å, c = 17.986 Å
α = 90.00°, β = 90.00°, γ = 90.00°
Space group I-42d (No. 122)
Asymmetric unit:
Ca  0.000  0.000  0.000
Ir  0.107  0.250  0.625
Rh  0.000  0.000  0.500

Results
DOS(E_F) ... 1.57 states/eV per atom
Offset from the most stable computed form ... 0.3563 eV/atom
Crystal system ... tetragonal

***

Number 1: M_tot 0.0 μB per formula unit, E_form -0.1591 eV per atom. Number 2: M_tot 0.0 μB per formula unit, E_form 0.0323 eV per atom. Number 3: M_tot 0.0 μB per formula unit, E_form 0.0838 eV per atom. Number 4: M_tot 0.0 μB per formula unit, E_form 0.2907 eV per atom. Number 5: M_tot 0.0 μB per formula unit, E_form -0.1422 eV per atom. Number 6: M_tot 0.0 μB per formula unit, E_form 0.3386 eV per atom.